Record 1
Entry from Alexandria via LeMat-Bulk: a geometry-optimized Ce2PuMoN4 structure (PBE).

a b c (Å): 6.167 6.167 11.855
angles (deg): 90.00 90.00 148.17
Sites, in units of the cell vectors:
1 Ce 0.132 0.868 0.546
2 Ce 0.132 0.868 0.954
3 Ce 0.868 0.132 0.046
4 Ce 0.868 0.132 0.454
5 Pu 0.383 0.617 0.750
6 Pu 0.617 0.383 0.250
7 Mo 0.355 0.645 0.250
8 Mo 0.645 0.355 0.750
9 N 0.034 0.966 0.750
10 N 0.228 0.772 0.132
11 N 0.228 0.772 0.368
12 N 0.500 0.500 0.000
13 N 0.500 0.500 0.500
14 N 0.772 0.228 0.632
15 N 0.772 0.228 0.868
16 N 0.966 0.034 0.250

Output
Its uncorrected formation energy is -1.008 eV/atom.



Record 2
Entry from Alexandria via LeMat-Bulk: a geometry-optimized Y2Cd3Ag4 structure (PBE).

a b c (Å): 8.987 8.987 8.096
angles (deg): 90.00 90.00 141.87
Sites, in units of the cell vectors:
1 Y 0.098 0.902 0.897
2 Y 0.402 0.598 0.397
3 Y 0.598 0.402 0.603
4 Y 0.902 0.098 0.103
5 Cd 0.000 0.000 0.500
6 Cd 0.012 0.488 0.750
7 Cd 0.488 0.012 0.250
8 Cd 0.500 0.500 0.000
9 Cd 0.512 0.988 0.750
10 Cd 0.988 0.512 0.250
11 Ag 0.166 0.834 0.522
12 Ag 0.180 0.320 0.750
13 Ag 0.320 0.180 0.250
14 Ag 0.334 0.666 0.022
15 Ag 0.666 0.334 0.978
16 Ag 0.680 0.820 0.750
17 Ag 0.820 0.680 0.250
18 Ag 0.834 0.166 0.478

Output
Its energy relative to the elements is -187 meV/atom. The energy above the lowest structure with this stoichiometry comes out at 59 meV per atom.



Record 3
Entry from Alexandria via LeMat-Bulk: a geometry-optimized Be2AsPb structure (PBE).

a b c (Å): 3.599 3.602 6.106
angles (deg): 90.00 98.36 90.00
Sites, in units of the cell vectors:
1 Be 0.000 0.000 0.000
2 Be 0.462 0.500 0.001
3 As 0.447 0.000 0.791
4 Pb 0.045 0.500 0.369

Output
Its energy relative to the elements is 237 meV/atom. The energy above the lowest structure with this stoichiometry comes out at 24 meV per atom.



Record 4
Entry from Alexandria via LeMat-Bulk: a geometry-optimized Cu2AsPd6 structure (PBE).

a b c (Å): 7.723 7.723 4.758
angles (deg): 97.65 97.65 80.83
Sites, in units of the cell vectors:
1 Cu 0.098 0.233 0.091
2 Cu 0.233 0.098 0.591
3 Cu 0.767 0.902 0.409
4 Cu 0.902 0.767 0.909
5 As 0.349 0.651 0.750
6 As 0.651 0.349 0.250
7 Pd 0.090 0.797 0.466
8 Pd 0.102 0.477 0.763
9 Pd 0.203 0.910 0.034
10 Pd 0.306 0.463 0.297
11 Pd 0.463 0.306 0.797
12 Pd 0.477 0.102 0.263
13 Pd 0.523 0.898 0.737
14 Pd 0.537 0.694 0.203
15 Pd 0.694 0.537 0.703
16 Pd 0.797 0.090 0.966
17 Pd 0.898 0.523 0.237
18 Pd 0.910 0.203 0.534

Output
Its energy relative to the elements is -104 meV/atom.



Record 5
Entry from Alexandria via LeMat-Bulk: a geometry-optimized ReAg2Hg structure (PBE).

a b c (Å): 5.071 5.071 5.071
angles (deg): 131.19 131.19 71.51
Sites, in units of the cell vectors:
1 Re 0.000 0.000 0.000
2 Ag 0.250 0.750 0.500
3 Ag 0.750 0.250 0.500
4 Hg 0.500 0.500 0.000

Output
Its energy relative to the elements is 886 meV/atom.



Record 6
Entry from Alexandria via LeMat-Bulk: a geometry-optimized PmGa2Ni5Pt structure (PBE).

a b c (Å): 4.539 4.539 6.826
angles (deg): 90.00 90.00 90.00
Sites, in units of the cell vectors:
1 Pm 0.000 0.000 0.000
2 Ga 0.500 0.500 0.326
3 Ga 0.500 0.500 0.674
4 Ni 0.000 0.500 0.301
5 Ni 0.000 0.500 0.699
6 Ni 0.500 0.000 0.301
7 Ni 0.500 0.000 0.699
8 Ni 0.500 0.500 0.000
9 Pt 0.000 0.000 0.500

Output
Its energy relative to the elements is -2 meV/atom.



Record 7
Entry from Alexandria via LeMat-Bulk: a geometry-optimized RbNpGa2Br8 structure (PBE).

a b c (Å): 6.957 7.376 9.525
angles (deg): 90.10 90.44 92.89
Sites, in units of the cell vectors:
1 Rb 0.000 0.000 0.000
2 Np 0.000 0.000 0.500
3 Ga 0.499 0.500 0.783
4 Ga 0.501 0.500 0.217
5 Br 0.211 0.706 0.498
6 Br 0.237 0.155 0.300
7 Br 0.240 0.151 0.703
8 Br 0.285 0.633 0.999
9 Br 0.715 0.367 0.001
10 Br 0.760 0.849 0.297
11 Br 0.763 0.845 0.700
12 Br 0.789 0.294 0.502

Output
Its uncorrected formation energy is -1.012 eV/atom.



Record 8
Entry from Alexandria via LeMat-Bulk: a geometry-optimized Pr2BeHPt6 structure (PBE).

a b c (Å): 5.762 5.775 6.718
angles (deg): 90.28 115.19 119.91
Sites, in units of the cell vectors:
1 Pr 0.055 0.277 0.334
2 Pr 0.945 0.723 0.666
3 Be 0.500 0.000 0.500
4 H 0.500 0.500 0.000
5 Pt 0.026 0.264 0.800
6 Pt 0.461 0.223 0.199
7 Pt 0.462 0.736 0.200
8 Pt 0.538 0.264 0.800
9 Pt 0.539 0.777 0.801
10 Pt 0.974 0.736 0.200

Output
The calculated total energy is -60.58 eV for the cell shown.